Entry 1:
PuBeTl2O6, optimized geometry, DFT GGA-PBE; energy relative to the elements, uncorrected = -1512 kJ/mol of formula units; magnetization = 0.24 Bohr magnetons per cell; mass density = 8.22 g/cm³; electronic total energy = -6.82 eV/atom
1.0
-0.6753 1.9518 -4.8690
2.7004 -4.0777 -2.0092
-5.6651 -1.7758 2.9462
Tl O Be Pu
2 6 1 1
Direct
0.2500 0.2500 0.5000
0.7500 0.7500 0.5000
0.1810 0.6810 0.3620
0.8190 0.3190 0.6380
0.2725 0.2275 0.0000
0.7275 0.7725 0.0000
0.7275 0.2275 0.0000
0.2725 0.7725 0.0000
0.5000 0.0000 0.0000
0.0000 0.5000 0.0000

Entry 2:
PuBe2Tl2O6, optimized geometry, DFT GGA-PBE; energy relative to the elements, uncorrected = -2116 kJ/mol of formula units; magnetization = 2.00 Bohr magnetons per cell; mass density = 7.51 g/cm³; electronic total energy = -7.11 eV/atom
1.0
-3.7397 -1.3325 3.9300
-0.5692 -5.3136 1.6269
2.9097 -1.3221 6.2907
Pu O Be Tl
1 6 2 2
Direct
0.0000 0.0000 0.0000
0.7612 0.7612 0.1965
0.2388 0.7189 0.8035
0.2811 0.7612 0.1965
0.7189 0.2388 0.8035
0.7612 0.2811 0.1965
0.2388 0.2388 0.8035
0.6035 0.6035 0.1895
0.3965 0.3965 0.8105
0.7888 0.7888 0.6336
0.2112 0.2112 0.3664

Entry 3:
Pu2BeTlO8, optimized geometry, DFT GGA-PBE; energy relative to the elements, uncorrected = -2336 kJ/mol of formula units; magnetization = 5.00 Bohr magnetons per cell; mass density = 8.69 g/cm³; electronic total energy = -8.22 eV/atom
1.0
4.6225 -0.2104 -0.0028
-0.1491 4.6245 -0.0048
0.0049 0.0077 7.4272
O Be Pu Tl
8 1 2 1
Direct
0.6844 0.6843 0.5000
0.2222 0.7778 0.7716
0.7778 0.2221 0.7716
0.7778 0.2222 0.2284
0.2588 0.2588 0.0000
0.7412 0.7412 0.0000
0.2222 0.7779 0.2284
0.3156 0.3157 0.5000
0.0000 0.0000 0.0000
0.5000 0.5000 0.7699
0.5000 0.5000 0.2301
0.0000 0.0000 0.5000